# LaPm7Sm2

LaPm7Sm2 after structural relaxation (PBE, the Alexandria database).

abc: 5.606 7.898 9.448
angles: 114.72 72.71 90.00
Positions (direct):
La  0.000  0.000  0.000
Pm  0.846  0.653  0.307
Pm  0.154  0.347  0.693
Pm  0.631  0.670  0.740
Pm  0.369  0.330  0.260
Pm  0.369  0.930  0.260
Pm  0.631  0.070  0.740
Pm  0.500  0.500  0.000
Sm  0.213  0.787  0.574
Sm  0.787  0.213  0.426

Formation energy in eV per formula unit: 2.0
Offset from the most stable computed form in meV per atom: 0.0
Space group: No. 71
Total energy in eV per atom: -4.5648

# CePrDy2As4

CePrDy2As4 after structural relaxation (PBE, the Alexandria database).

abc: 4.193 7.247 7.264
angles: 70.56 90.00 90.00
Positions (direct):
Ce  0.000  0.500  0.500
Pr  0.500  0.500  0.000
Dy  0.000  0.000  0.000
Dy  0.500  0.000  0.500
As  0.000  0.758  0.743
As  0.000  0.242  0.257
As  0.500  0.757  0.251
As  0.500  0.243  0.749

Formation energy in eV per formula unit: -12.0
Space group: No. 10
Total energy in eV per atom: -6.3120

# SrSi2Ru

SrSi2Ru after structural relaxation (PBE, the Alexandria database).

abc: 4.700 4.700 4.700
angles: 60.00 60.00 60.00
Positions (direct):
Ru  0.500  0.500  0.500
Si  0.000  0.000  0.000
Si  0.250  0.250  0.250
Sr  0.750  0.750  0.750

Formation energy (no corrections) in eV per formula unit: 1.954
Space group: No. 216
Total energy in eV per atom: -4.9625